# 1
# PuMnF2

Crystalline PuMnF2 at its relaxed geometry (PBE+U, the Alexandria database).

Cell lengths 6.7288, 6.7288, 6.7288 Å; angles 30.32, 30.32, 30.32 degrees
Last column: nearest neighbours and their distance in Å.
Positions (direct):
Pu  0.0000  0.0000  0.0000  2 F 2.42
Mn  0.5000  0.5000  0.5000  6 F 2.18
F  0.1256  0.1256  0.1256  3 Mn 2.18, 1 Pu 2.42
F  0.8744  0.8744  0.8744  3 Mn 2.18, 1 Pu 2.42



# 2
# Rb2PuMnF6

Crystalline Rb2PuMnF6 at its relaxed geometry (PBE+U, the Alexandria database).

Cell lengths 6.3569, 9.0554, 6.6420 Å; angles 90.00, 90.00, 90.00 degrees
Last column: nearest neighbours and their distance in Å.
Positions (direct):
Rb  0.2500  0.0104  0.2170  9 F 2.89-3.18
Rb  0.2500  0.4896  0.2170  9 F 2.89-3.18
Rb  0.7500  0.5104  0.7830  9 F 2.89-3.18
Rb  0.7500  0.9896  0.7830  9 F 2.89-3.18
Pu  0.2500  0.2500  0.7137  6 F 2.36-2.50
Pu  0.7500  0.7500  0.2863  6 F 2.36-2.50
Mn  0.2500  0.7500  0.7703  6 F 2.16-2.18
Mn  0.7500  0.2500  0.2297  6 F 2.16-2.18
F  0.0070  0.7500  0.0011  1 Mn 2.18
F  0.0091  0.7500  0.5401  1 Mn 2.16, 1 Pu 2.36
F  0.2500  0.5108  0.7829  1 Mn 2.17, 1 Pu 2.41
F  0.2500  0.9892  0.7829  1 Mn 2.17, 1 Pu 2.41
F  0.4909  0.7500  0.5401  1 Mn 2.16, 1 Pu 2.36
F  0.4930  0.7500  0.0011  1 Mn 2.18
F  0.5070  0.2500  0.9989  1 Mn 2.18
F  0.5091  0.2500  0.4599  1 Mn 2.16, 1 Pu 2.36
F  0.7500  0.0108  0.2171  1 Mn 2.17, 1 Pu 2.41
F  0.7500  0.4892  0.2171  1 Mn 2.17, 1 Pu 2.41
F  0.9909  0.2500  0.4599  1 Mn 2.16, 1 Pu 2.36
F  0.9930  0.2500  0.9989  1 Mn 2.18



# 3
# RbPuMnF6

Crystalline RbPuMnF6 at its relaxed geometry (PBE+U, the Alexandria database).

Cell lengths 6.0764, 6.0764, 5.8192 Å; angles 90.02, 90.02, 119.93 degrees
Last column: nearest neighbours and their distance in Å.
Positions (direct):
Rb  0.0000  0.0000  0.0000  6 F 2.89
Pu  0.6666  0.3334  0.5000  6 F 2.30
Mn  0.3331  0.6669  0.5000  6 F 2.16
F  0.0165  0.6318  0.3019  1 Mn 2.16, 1 Pu 2.30
F  0.0170  0.3857  0.6984  1 Mn 2.16, 1 Pu 2.30
F  0.3676  0.3844  0.3021  1 Mn 2.16, 1 Pu 2.30
F  0.3682  0.9835  0.6981  1 Mn 2.16, 1 Pu 2.30
F  0.6143  0.9830  0.3016  1 Mn 2.16, 1 Pu 2.30
F  0.6156  0.6324  0.6979  1 Mn 2.16, 1 Pu 2.30



Number 1: total moment 5.4 Bohr magnetons per cell, DOS at the Fermi energy 7.66 states/eV/cell, final energy -29.60 eV per formula unit. Number 2: total moment 21.7 Bohr magnetons per cell, DOS at the Fermi energy 22.64 states/eV/cell, final energy -63.12 eV per formula unit. Number 3: total moment 10.0 Bohr magnetons per cell, DOS at the Fermi energy 6.25 states/eV/cell, final energy -61.82 eV per formula unit.